This record from Alexandria describes crystalline Ca2GePd5Au2 at its relaxed geometry. The functional is GGA-PBE.

a b c (Å): 9.8943 9.8943 3.8800
angles (deg): 90.00 90.00 90.00
Last column: nearest neighbours and their distance in Å.
Space group P4/mbm (No. 127)
Symmetry-distinct sites (fractional):
Ca  0.1667  0.3333  0.0000 x4  3 Au 2.79-2.99, 2 Pd 3.03
Ge  0.0000  0.0000  0.0000 x2  8 Pd 2.75
Pd  0.0000  0.5000  0.5000 x2  4 Au 2.70
Pd  0.0572  0.8110  0.5000 x8  2 Au 2.72, 2 Ge 2.75, 2 Pd 2.76
Au  0.1339  0.6339  0.0000 x4  6 Pd 2.70-2.72, 3 Ca 2.79-2.99

Results
The calculation puts the density of states at the Fermi level at 9.34 states/eV/cell. As for the crystal system: tetragonal. The formation energy from the elements comes out at -523 meV/atom.